FeAg2O after structural relaxation, computed with PBE with a Hubbard U.

Cell: 8.840 8.840 3.749 Å, 90.00 90.00 90.00°
Positions (direct):
Fe 0.000 0.000 0.000
Fe 0.000 0.500 0.250
Fe 0.500 0.000 0.750
Fe 0.500 0.500 0.500
Ag 0.135 0.750 0.625
Ag 0.250 0.135 0.375
Ag 0.250 0.365 0.875
Ag 0.365 0.750 0.125
Ag 0.635 0.250 0.125
Ag 0.750 0.635 0.875
Ag 0.750 0.865 0.375
Ag 0.865 0.250 0.625
O 0.000 0.000 0.500
O 0.000 0.500 0.750
O 0.500 0.000 0.250
O 0.500 0.500 0.000

Computed properties:
Electronic total energy = -66.55 eV for the cell shown
V = 293 Å³ per cell
Space group = I-42d, No. 122